FeB2N2: relaxed, PBE-GGA.

Geometry as POSCAR:
```
FeB2N2
1.0
-1.362 2.321 -0.289
-1.610 -0.688 2.064
4.391 5.009 6.870
B Fe N
2 1 2
Cartesian
0.771 4.073 3.734
0.647 2.569 4.911
0.000 0.000 0.000
0.961 2.562 3.379
0.457 4.080 5.266
```

Values from the calculation:
Its electronic total energy is -7.34 eV per atom. Its energy above the lowest structure with this stoichiometry is 0.311 eV/atom.

=====

Cs2IrCBr6: relaxed, PBE-GGA.

Geometry as POSCAR:
```
Cs2IrCBr6
1.0
-0.552 6.060 -3.754
-3.873 2.905 5.261
2.918 6.575 3.376
Cs C Ir Br
2 1 1 6
Cartesian
0.077 8.559 0.188
-1.584 6.982 4.695
-2.213 4.483 0.754
0.000 0.000 0.000
0.811 5.715 2.299
-2.318 9.825 2.585
-1.127 2.283 0.384
-3.299 6.683 1.124
-1.398 5.257 -1.458
-3.028 3.709 2.966
```

Values from the calculation:
Its electronic total energy is -3.21 eV per atom.

=====

Rb2Au2Se: relaxed, PBE-GGA.

Geometry as POSCAR:
```
Rb2Au2Se
1.0
7.556 0.000 0.000
0.000 7.556 0.000
0.000 0.000 5.254
Au Se Rb
4 2 4
Cartesian
2.803 6.581 0.000
6.581 4.753 0.000
4.753 0.975 0.000
0.975 2.803 0.000
0.000 0.000 0.000
3.778 3.778 0.000
1.375 5.153 2.627
5.153 6.181 2.627
6.181 2.403 2.627
2.403 1.375 2.627
```

Values from the calculation:
Its electronic total energy is -2.74 eV per atom. Its energy above the lowest structure with this stoichiometry is 0.183 eV/atom.

=====

Sr2Y2Ta: relaxed, PBE-GGA.

Geometry as POSCAR:
```
Sr2Y2Ta
1.0
7.659 0.000 0.000
0.000 7.659 0.000
0.000 0.000 6.269
Y Sr Ta
4 4 2
Cartesian
2.526 6.355 0.000
6.355 5.133 0.000
5.133 1.304 0.000
1.304 2.526 0.000
1.358 5.187 3.134
5.187 6.301 3.134
6.301 2.472 3.134
2.472 1.358 3.134
0.000 0.000 0.000
3.829 3.829 0.000
```

Values from the calculation:
Its electronic total energy is -4.93 eV per atom. Its energy relative to the elements is 0.698 eV per atom. Its energy above the lowest structure with this stoichiometry is 0.000 eV/atom.

=====

PuNpTe2O: relaxed, PBE-GGA.

Geometry as POSCAR:
```
PuNpTe2O
1.0
3.506 0.000 0.000
0.000 3.506 0.000
0.000 0.000 20.778
Pu Np Te O
2 2 4 2
Cartesian
1.753 0.000 2.592
0.000 1.753 18.186
1.753 0.000 0.115
0.000 1.753 20.664
0.000 1.753 15.144
0.000 1.753 11.868
1.753 0.000 8.911
1.753 0.000 5.635
0.000 0.000 10.389
1.753 1.753 10.389
```

Values from the calculation:
Its electronic total energy is -7.56 eV per atom.

=====

CeSm15Y4: relaxed, PBE-GGA.

Geometry as POSCAR:
```
CeSm15Y4
1.0
-1.594 -1.350 -4.668
-1.590 -4.497 1.844
-22.945 10.126 4.904
Ce Sm Y
1 15 4
Cartesian
0.000 0.000 0.000
-1.592 -2.923 -1.412
-6.199 -0.890 -0.427
-10.772 1.128 0.550
-15.357 3.151 1.530
-19.930 5.170 2.508
-3.062 0.325 -1.850
-7.668 2.358 -0.865
-12.269 4.388 0.118
-16.870 6.419 1.102
-21.476 8.451 2.086
-3.061 -1.248 1.406
-7.667 0.784 2.391
-12.268 2.815 3.374
-16.869 4.845 4.357
-21.475 6.878 5.342
-4.574 2.019 0.978
-9.173 4.048 1.961
-13.772 6.078 2.944
-18.371 8.108 3.926
```

Values from the calculation:
Its electronic total energy is -5.10 eV per atom. Its energy relative to the elements is 0.029 eV per atom.

=====

Hf2InRu3: relaxed, PBE-GGA.

Geometry as POSCAR:
```
Hf2InRu3
1.0
3.248 0.000 0.000
0.000 3.248 0.000
0.000 0.000 9.658
Hf In Ru
2 1 3
Cartesian
1.624 1.624 8.014
1.624 1.624 1.644
1.624 1.624 4.829
0.000 0.000 0.000
0.000 0.000 6.494
0.000 0.000 3.164
```

Values from the calculation:
Its electronic total energy is -8.99 eV per atom. Its energy relative to the elements is -0.577 eV per atom.

=====

GdLuSnHg: relaxed, PBE-GGA.

Geometry as POSCAR:
```
GdLuSnHg
1.0
5.269 0.000 0.000
2.635 4.563 0.000
2.635 1.521 4.302
Gd Lu Hg Sn
1 1 1 1
Cartesian
5.269 3.042 2.151
0.000 0.000 0.000
7.904 4.563 3.227
2.635 1.521 1.076
```

Values from the calculation:
Its electronic total energy is -6.27 eV per atom. Its energy relative to the elements is -0.539 eV per atom.

=====

Question: Which of these has the lowest electronic total energy?
Answer: Hf2InRu3

=====

Question: Which of these has the lowest electronic total energy?
Answer: Hf2InRu3

=====

Question: Among the records above, which one has the lowest electronic total energy?
Answer: Hf2InRu3

=====

Question: Which of these has the lowest electronic total energy?
Answer: Hf2InRu3